[1]
## DyTmIn (PBE-GGA)

Data for crystalline DyTmIn at its relaxed geometry.

Unit cell a=5.140 b=5.140 c=5.140 alpha=60.00 beta=60.00 gamma=60.00
Positions (direct):
In  0.000  0.000  0.000
Dy  0.250  0.250  0.250
Tm  0.750  0.750  0.750

Space group: No. 216
Size of the total moment: 0.011 μB per atom
Energy above the lowest structure with this stoichiometry: 0.2635 eV/atom

***

[2]
## LuMgReW (PBE-GGA)

Data for crystalline LuMgReW at its relaxed geometry.

Unit cell a=4.662 b=4.662 c=4.662 alpha=60.00 beta=60.00 gamma=60.00
Positions (direct):
W  0.000  0.000  0.000
Mg  0.750  0.750  0.750
Re  0.250  0.250  0.250
Lu  0.500  0.500  0.500

Space group: No. 216
Size of the total moment: 0.000 μB per atom
Energy above the lowest structure with this stoichiometry: 0.0000 eV/atom

***

[3]
## UAlTe (PBE-GGA)

Data for crystalline UAlTe at its relaxed geometry.

Unit cell a=4.986 b=4.986 c=4.986 alpha=60.00 beta=60.00 gamma=60.00
Positions (direct):
Te  0.750  0.750  0.750
Al  0.250  0.250  0.250
U  0.000  0.000  0.000

Space group: No. 216
Size of the total moment: 0.860 μB per atom
Energy above the lowest structure with this stoichiometry: 0.0000 eV/atom